<one>
# LiH2S

Crystalline LiH2S at its relaxed geometry (PBE-GGA, Alexandria via LeMat-Bulk).

The structure in POSCAR format:
```
LiH2S
1.0
-2.5040 -2.6751 -3.0226
3.9448 -1.7362 -1.7314
-0.1610 -3.4091 3.1505
Li H S
2 4 2
direct
0.2500 0.7576 0.2897
0.7500 0.2897 0.7576
0.2500 0.1862 0.3807
0.7500 0.3807 0.1862
0.2500 0.1851 0.2168
0.7500 0.2168 0.1851
0.2500 0.6851 0.7839
0.7500 0.7839 0.6851
```

SG = Ama2 (40)
Calculated volume = 102 Å³ per cell


<two>
# LiH2S

Crystalline LiH2S at its relaxed geometry (PBE-GGA, Alexandria via LeMat-Bulk).

The structure in POSCAR format:
```
LiH2S
1.0
-2.3862 0.4446 2.3589
-0.7351 -2.5031 2.1565
1.4187 0.5362 3.7623
H S Li
2 1 1
direct
0.2140 0.2140 0.3580
0.7860 0.7860 0.6420
0.5000 0.5000 0.5000
0.0000 0.0000 0.0000
```

SG = R-3m (166)
Calculated volume = 35 Å³ per cell


Which of them is the most stable, and which is the least stable? <one> and <two>, in that order.


<one>
# LiHS3

Crystalline LiHS3 at its relaxed geometry (PBE-GGA, Alexandria via LeMat-Bulk).

The structure in POSCAR format:
```
LiHS3
1.0
-2.9832 1.0454 -3.0379
-2.2476 -3.6414 0.9540
-2.2957 2.2065 3.0137
H S Li
1 3 1
direct
0.5000 0.5000 0.5000
0.0000 0.5000 0.0000
0.0000 0.0000 0.5000
0.5000 0.0000 0.0000
0.0000 0.0000 0.0000
```

SG = Pm-3m (221)
Calculated volume = 84 Å³ per cell


<two>
# LiHS3

Crystalline LiHS3 at its relaxed geometry (PBE-GGA, Alexandria via LeMat-Bulk).

The structure in POSCAR format:
```
LiHS3
1.0
-1.2291 3.8377 -0.6868
-1.7365 -1.1836 -3.5063
-3.4906 -0.7625 1.9861
H S Li
1 3 1
direct
0.0000 0.0000 0.0000
0.0000 0.5000 0.0000
0.0000 0.0000 0.5000
0.5000 0.0000 0.0000
0.5000 0.5000 0.5000
```

SG = Pm-3m (221)
Calculated volume = 68 Å³ per cell


Which of them is the most stable, and which is the least stable? <two> and <one>, in that order.


<one>
# Li2H2S

Crystalline Li2H2S at its relaxed geometry (PBE-GGA, Alexandria via LeMat-Bulk).

The structure in POSCAR format:
```
Li2H2S
1.0
4.1565 0.0000 0.0000
0.0000 4.1565 0.0000
2.0782 2.0782 3.1764
H S Li
2 1 2
direct
0.2715 0.2715 0.4571
0.7285 0.7285 0.5429
0.0000 0.0000 0.0000
0.7500 0.2500 0.5000
0.2500 0.7500 0.5000
```

SG = I4/mmm (139)
Calculated volume = 55 Å³ per cell


<two>
# Li2H2S

Crystalline Li2H2S at its relaxed geometry (PBE-GGA, Alexandria via LeMat-Bulk).

The structure in POSCAR format:
```
Li2H2S
1.0
5.8490 0.0000 0.0000
0.0000 5.8490 0.0000
0.0000 0.0000 3.3308
H S Li
4 2 4
direct
0.4532 0.9532 0.0000
0.9532 0.5468 0.0000
0.5468 0.0468 0.0000
0.0468 0.4532 0.0000
0.0000 0.0000 0.0000
0.5000 0.5000 0.0000
0.2343 0.7343 0.5000
0.7343 0.7657 0.5000
0.7657 0.2657 0.5000
0.2657 0.2343 0.5000
```

SG = P4/mbm (127)
Calculated volume = 114 Å³ per cell


Which of them is the most stable, and which is the least stable? <two> and <one>, in that order.


<one>
# LiSb2H2

Crystalline LiSb2H2 at its relaxed geometry (PBE-GGA, Alexandria via LeMat-Bulk).

The structure in POSCAR format:
```
LiSb2H2
1.0
-3.0382 -4.4730 4.0559
6.0086 -1.7917 2.5250
-0.2939 2.3384 2.3587
Sb H Li
4 4 2
direct
0.1492 0.6492 0.5000
0.6492 0.8508 0.5000
0.8508 0.3508 0.5000
0.3508 0.1492 0.5000
0.3815 0.8815 0.0000
0.8815 0.6185 0.0000
0.6185 0.1185 0.0000
0.1185 0.3815 0.0000
0.0000 0.0000 0.0000
0.5000 0.5000 0.0000
```

SG = P4/mbm (127)
Calculated volume = 152 Å³ per cell


<two>
# LiSb2H2

Crystalline LiSb2H2 at its relaxed geometry (PBE-GGA, Alexandria via LeMat-Bulk).

The structure in POSCAR format:
```
LiSb2H2
1.0
3.2669 0.0000 0.0000
0.0000 3.2669 0.0000
1.6335 1.6335 7.3128
Sb H Li
2 2 1
direct
0.3605 0.3605 0.2791
0.6395 0.6395 0.7209
0.7500 0.2500 0.5000
0.2500 0.7500 0.5000
0.0000 0.0000 0.0000
```

SG = I4/mmm (139)
Calculated volume = 78 Å³ per cell


Which of them is the most stable, and which is the least stable? <two> and <one>, in that order.


<one>
# LiSbH

Crystalline LiSbH at its relaxed geometry (PBE-GGA, Alexandria via LeMat-Bulk).

The structure in POSCAR format:
```
LiSbH
1.0
3.8863 0.0000 0.0000
0.0000 3.8863 0.0000
-1.9432 -1.9432 4.3082
Sb H Li
1 1 1
direct
0.7420 0.7420 0.4839
0.9437 0.9437 0.8874
0.1643 0.1643 0.3287
```

SG = I4mm (107)
Calculated volume = 65 Å³ per cell


<two>
# LiSbH

Crystalline LiSbH at its relaxed geometry (PBE-GGA, Alexandria via LeMat-Bulk).

The structure in POSCAR format:
```
LiSbH
1.0
4.1543 1.4959 2.1837
1.5625 10.4274 3.8060
6.6790 10.8709 8.8895
Li Sb H
2 2 2
direct
0.0326 0.7869 0.3007
0.5139 0.4973 0.3707
0.4264 0.3557 0.2367
0.1193 0.9281 0.4352
0.9126 0.4602 0.6281
0.6337 0.8239 0.0434
```

SG = P-1 (2)
Calculated volume = 115 Å³ per cell


<three>
# LiSbH

Crystalline LiSbH at its relaxed geometry (PBE-GGA, Alexandria via LeMat-Bulk).

The structure in POSCAR format:
```
LiSbH
1.0
4.2900 0.0158 0.0200
-0.0232 5.2138 0.6140
-0.0155 -1.1880 4.1831
Li Sb H
2 2 2
direct
0.7511 0.0050 0.7505
0.2512 0.0028 0.2514
0.7532 0.5033 0.2523
0.2532 0.5039 0.7521
0.7524 0.0032 0.2517
0.2523 0.0050 0.7517
```

SG = P1 (1)
Calculated volume = 97 Å³ per cell


Which of them is the most stable, and which is the least stable? <two> and <one>, in that order.


<one>
# LiSbHSe2

Crystalline LiSbHSe2 at its relaxed geometry (PBE-GGA, Alexandria via LeMat-Bulk).

The structure in POSCAR format:
```
LiSbHSe2
1.0
-1.7235 -3.5169 -3.0772
3.5756 -1.4148 -0.3857
-0.7755 -3.0191 3.8848
Sb H Se Li
1 1 2 1
direct
0.0000 0.5000 0.0000
0.0000 0.0000 0.0000
0.0000 0.0000 0.5000
0.5000 0.0000 0.0000
0.5000 0.5000 0.5000
```

SG = P4/mmm (123)
Calculated volume = 96 Å³ per cell


<two>
# LiSbHSe2

Crystalline LiSbHSe2 at its relaxed geometry (PBE-GGA, Alexandria via LeMat-Bulk).

The structure in POSCAR format:
```
LiSbHSe2
1.0
-3.4266 0.0899 -2.8491
1.6946 -4.5038 -2.1801
-2.4660 -2.3280 2.8924
Sb H Se Li
1 1 2 1
direct
0.0000 0.5000 0.0000
0.5000 0.5000 0.5000
0.0000 0.0000 0.5000
0.5000 0.0000 0.0000
0.0000 0.0000 0.0000
```

SG = P4/mmm (123)
Calculated volume = 105 Å³ per cell


Which of them is the most stable, and which is the least stable? <one> and <two>, in that order.


<one>
# LiSc2H

Crystalline LiSc2H at its relaxed geometry (PBE-GGA, Alexandria via LeMat-Bulk).

The structure in POSCAR format:
```
LiSc2H
1.0
-4.1756 0.0689 4.6891
4.2266 -2.6650 3.8029
1.1918 1.9656 5.2367
Sc H Li
4 2 2
direct
0.5116 0.1250 0.2500
0.2384 0.6250 0.2500
0.3750 0.4884 0.7500
0.8750 0.7616 0.7500
0.5000 0.5000 0.0000
0.2500 0.7500 0.5000
0.0000 0.0000 0.0000
0.7500 0.2500 0.5000
```

SG = I-42d (122)
Calculated volume = 142 Å³ per cell


<two>
# LiSc2H

Crystalline LiSc2H at its relaxed geometry (PBE-GGA, Alexandria via LeMat-Bulk).

The structure in POSCAR format:
```
LiSc2H
1.0
-2.2498 -2.1417 -0.9765
-1.6401 -1.7546 2.1985
-6.6989 4.2092 0.7731
Li Sc H
1 2 1
direct
0.4994 0.4994 0.5017
0.0529 0.0529 0.8413
0.2808 0.2808 0.1577
0.6669 0.6669 0.9993
```

SG = R3m (160)
Calculated volume = 71 Å³ per cell


Which of them is the most stable, and which is the least stable? <two> and <one>, in that order.


<one>
# LiSc2H

Crystalline LiSc2H at its relaxed geometry (PBE-GGA, Alexandria via LeMat-Bulk).

The structure in POSCAR format:
```
LiSc2H
1.0
-4.5409 0.0195 7.2717
-2.2622 2.1840 7.9756
-4.8846 3.0819 6.3356
Sc H Li
2 1 1
direct
0.8815 0.8815 0.8815
0.1185 0.1185 0.1185
0.5000 0.5000 0.5000
0.0000 0.0000 0.0000
```

SG = R-3m (166)
Calculated volume = 75 Å³ per cell


<two>
# LiSc2H

Crystalline LiSc2H at its relaxed geometry (PBE-GGA, Alexandria via LeMat-Bulk).

The structure in POSCAR format:
```
LiSc2H
1.0
0.0000 3.2414 3.2414
3.2414 0.0000 3.2414
3.2414 3.2414 0.0000
Sc H Li
2 1 1
direct
0.2500 0.2500 0.2500
0.7500 0.7500 0.7500
0.0000 0.0000 0.0000
0.5000 0.5000 0.5000
```

SG = Fm-3m (225)
Calculated volume = 68 Å³ per cell


Which of them is the most stable, and which is the least stable? <one> and <two>, in that order.